1.
VASP calculation (PBE-GGA) on crystalline MgTaNi2H at its relaxed geometry.

a = 4.694 Å, b = 4.694 Å, c = 3.048 Å
α = 90.00°, β = 90.00°, γ = 90.00°
Space group P4/mmm (No. 123)
One atom of each set of equivalent atoms:
Mg  0.000  0.000  0.000
Ta  0.500  0.500  0.500
Ni  0.000  0.500  0.000
H  0.000  0.000  0.500

Raw total energy ... -4.93 eV/atom

---

2.
VASP calculation (PBE-GGA) on crystalline NdLuInAg at its relaxed geometry.

a = 7.483 Å, b = 7.483 Å, c = 7.483 Å
α = 90.00°, β = 90.00°, γ = 90.00°
Space group F-43m (No. 216)
One atom of each set of equivalent atoms:
Nd  0.000  0.000  0.000
Lu  0.000  0.000  0.500
In  0.250  0.250  0.750
Ag  0.250  0.250  0.250

Formation energy ... -1.5 eV/f.u.

---

3.
VASP calculation (PBE-GGA) on crystalline Ac2YTl3Se6 at its relaxed geometry.

a = 7.711 Å, b = 13.336 Å, c = 8.140 Å
α = 90.00°, β = 108.35°, γ = 90.00°
Space group C2/m (No. 12)
One atom of each set of equivalent atoms:
Ac  0.000  0.167  0.000
Y  0.000  0.500  0.000
Tl  0.000  0.000  0.500
Tl  0.000  0.333  0.500
Se  0.228  0.343  0.211
Se  0.243  0.500  0.784

ΔE_f (raw) ... -1.42 eV per atom

---

4.
VASP calculation (PBE-GGA) on crystalline TcMo2P at its relaxed geometry.

a = 3.124 Å, b = 4.123 Å, c = 4.506 Å
α = 90.00°, β = 90.00°, γ = 90.00°
Space group Pmmm (No. 47)
One atom of each set of equivalent atoms:
Tc  0.000  0.000  0.000
Mo  0.000  0.500  0.500
Mo  0.500  0.500  0.000
P  0.500  0.000  0.500

Formation energy ... -0.1 eV/f.u.

---

Total magnetization: 0.000, 0.000, 0.000, 0.000 (μB per atom)